No. 1
DFT (PBE) results for a relaxed Er12Au3N5 crystal.

Structure (POSCAR):
```
Er12Au3N5
1.0
-7.615 7.615 7.615
7.615 -7.615 7.615
7.615 7.615 -7.615
Er Au N
48 12 20
Cartesian
2.280 -0.523 0.795
9.143 4.603 -4.331
9.895 0.523 0.795
9.143 -3.013 4.331
7.092 -0.795 2.280
11.946 -1.528 3.013
0.795 2.280 -0.523
10.628 3.284 -1.528
4.603 4.331 -1.528
6.820 2.280 0.523
-0.523 0.795 2.280
4.331 -1.528 4.603
7.092 6.820 -2.280
4.331 1.528 3.013
4.603 -4.331 9.143
6.820 -2.280 7.092
3.013 4.331 1.528
8.410 5.335 0.523
4.331 9.143 -3.013
7.092 0.795 5.335
2.280 7.092 -0.795
9.143 3.013 3.284
1.528 3.013 4.331
2.280 0.523 6.820
5.335 7.092 0.795
6.088 4.603 3.284
-1.528 4.603 4.331
5.335 0.523 8.410
0.523 6.820 2.280
3.284 -1.528 10.628
-0.795 2.280 7.092
4.603 3.284 6.088
0.795 9.895 0.523
3.013 11.946 -1.528
3.284 6.088 4.603
0.523 0.795 9.895
3.284 9.143 3.013
8.139 6.820 5.335
0.795 5.335 7.092
3.013 3.284 9.143
-3.013 4.331 9.143
6.820 5.335 8.139
-4.331 9.143 4.603
0.523 8.410 5.335
-1.528 10.628 3.284
-2.280 7.092 6.820
-1.528 3.013 11.946
5.335 8.139 6.820
3.808 1.904 0.000
7.615 3.808 -1.904
1.904 0.000 3.808
9.519 0.000 3.808
0.000 3.808 1.904
3.808 -1.904 7.615
3.808 9.519 0.000
7.615 3.808 5.711
-1.904 7.615 3.808
5.711 7.615 3.808
0.000 3.808 9.519
3.808 5.711 7.615
0.000 0.000 0.000
3.808 3.808 -3.808
3.808 -3.808 3.808
7.615 0.000 0.000
11.423 1.904 0.000
7.615 -3.808 5.711
5.711 7.615 -3.808
5.711 0.000 3.808
3.808 5.711 0.000
7.615 3.808 1.904
-3.808 3.808 3.808
0.000 7.615 0.000
0.000 0.000 7.615
3.808 3.808 3.808
0.000 3.808 5.711
3.808 1.904 7.615
1.904 7.615 3.808
1.904 0.000 11.423
0.000 11.423 1.904
-3.808 5.711 7.615
```

## Properties
- Energy relative to the elements, uncorrected: -0.991 eV/atom
- Final energy: -6.302 eV/atom
- D(E_F): 0.743 states/eV/atom
- Crystal system: cubic

=====

No. 2
DFT (PBE) results for a relaxed Er4PbAuN crystal.

Structure (POSCAR):
```
Er4PbAuN
1.0
3.315 -7.593 0.000
3.315 7.593 0.000
0.000 0.000 6.626
Er Pb Au N
8 2 2 2
Cartesian
1.658 3.797 0.000
1.658 3.797 3.313
3.315 6.522 4.970
3.315 1.368 4.970
1.658 -3.797 0.000
1.658 -3.797 3.313
3.315 -1.368 1.657
3.315 -6.522 1.657
3.315 1.670 1.657
3.315 -1.670 4.970
3.315 5.788 1.657
3.315 -5.788 4.970
3.315 3.720 4.970
3.315 -3.720 1.657
```

## Properties
- Energy relative to the elements, uncorrected: -0.887 eV/atom
- Final energy: -5.682 eV/atom
- D(E_F): 0.398 states/eV/atom
- Crystal system: orthorhombic

=====

No. 3
DFT (PBE) results for a relaxed NaEr2Au3 crystal.

Structure (POSCAR):
```
NaEr2Au3
1.0
3.548 0.000 0.000
0.000 3.548 0.000
0.000 0.000 10.886
Na Er Au
1 2 3
Cartesian
0.000 0.000 0.000
0.000 0.000 3.604
0.000 0.000 7.282
1.774 1.774 2.012
1.774 1.774 5.443
1.774 1.774 8.875
```

## Properties
- Final energy: -4.073 eV/atom
- D(E_F): 0.631 states/eV/atom
- Crystal system: tetragonal
- Energy of formation from the pure elements: -0.6931 eV/atom

=====

No. 4
DFT (PBE) results for a relaxed NaEr3Au4 crystal.

Structure (POSCAR):
```
NaEr3Au4
1.0
2.504 1.446 8.220
-2.504 1.446 8.220
0.000 -2.892 8.220
Na Er Au
1 3 4
Cartesian
0.000 0.000 0.000
0.000 0.000 6.282
0.000 0.000 12.330
0.000 0.000 18.378
0.000 0.000 3.273
0.000 0.000 9.356
0.000 0.000 15.304
0.000 0.000 21.388
```

## Properties
- Final energy: -4.266 eV/atom
- D(E_F): 0.625 states/eV/atom
- Crystal system: trigonal
- Energy of formation from the pure elements: -0.7517 eV/atom